(1)
Material: Sm2Pd3Pt3
Method: DFT, PBE
State: optimized geometry

- DFT total energy (eV per atom) = -6.26
- theoretical density (g/cm³) = 13.80

a = 4.204 Å, b = 4.166 Å, c = 8.283 Å
α = 90.00°, β = 90.00°, γ = 90.00°
Atoms (fractional coordinates):
1 Sm 0.000 0.000 0.750
2 Sm 0.000 0.000 0.250
3 Pd 0.500 0.000 0.500
4 Pd 0.000 0.500 0.000
5 Pd 0.000 0.500 0.500
6 Pt 0.500 0.500 0.750
7 Pt 0.500 0.500 0.250
8 Pt 0.500 0.000 0.000

(2)
Material: AlOs3
Method: DFT, PBE
State: optimized geometry

- DFT total energy (eV per atom) = -9.38
- theoretical density (g/cm³) = 17.31

a = 5.472 Å, b = 4.810 Å, c = 8.712 Å
α = 90.00°, β = 90.00°, γ = 90.00°
Atoms (fractional coordinates):
1 Os 0.132 0.922 0.750
2 Os 0.632 0.578 0.250
3 Os 0.368 0.422 0.750
4 Os 0.868 0.078 0.250
5 Os 0.627 0.263 0.999
6 Os 0.127 0.237 0.001
7 Os 0.873 0.763 0.501
8 Os 0.373 0.737 0.499
9 Os 0.373 0.737 0.001
10 Os 0.873 0.763 0.999
11 Os 0.127 0.237 0.499
12 Os 0.627 0.263 0.501
13 Al 0.615 0.930 0.750
14 Al 0.115 0.570 0.250
15 Al 0.885 0.430 0.750
16 Al 0.385 0.070 0.250

(3)
Material: LiCaTl2
Method: DFT, PBE
State: optimized geometry

- DFT total energy (eV per atom) = -2.48
- theoretical density (g/cm³) = 7.42

a = 5.013 Å, b = 6.578 Å, c = 6.578 Å
α = 109.91°, β = 90.00°, γ = 90.00°
Atoms (fractional coordinates):
1 Li 0.250 0.349 0.651
2 Li 0.750 0.651 0.349
3 Ca 0.250 0.872 0.128
4 Ca 0.750 0.128 0.872
5 Tl 0.750 0.607 0.822
6 Tl 0.750 0.178 0.393
7 Tl 0.250 0.393 0.178
8 Tl 0.250 0.822 0.607

(4)
Material: TbNdGePd
Method: DFT, PBE
State: optimized geometry

- theoretical density (g/cm³) = 8.25
- energy relative to the lowest polymorph listed for this composition (meV per atom) = 0

a = 4.048 Å, b = 4.336 Å, c = 5.891 Å
α = 90.00°, β = 110.09°, γ = 90.00°
Atoms (fractional coordinates):
1 Tb 0.863 0.500 0.727
2 Nd 0.140 0.000 0.280
3 Ge 0.578 0.500 0.155
4 Pd 0.419 0.000 0.838

(5)
Material: DyVIr2
Method: DFT, PBE
State: optimized geometry

- DFT total energy (eV per atom) = -8.28
- theoretical density (g/cm³) = 13.06

a = 4.235 Å, b = 4.235 Å, c = 5.470 Å
α = 67.22°, β = 67.22°, γ = 60.00°
Atoms (fractional coordinates):
1 V 0.500 0.500 0.500
2 Ir 0.789 0.789 0.634
3 Ir 0.211 0.211 0.366
4 Dy 0.000 0.000 0.000

(6)
Material: KDySO
Method: DFT, PBE
State: optimized geometry

- formation energy from raw total energies (meV per atom) = -2194
- theoretical density (g/cm³) = 4.84

a = 3.718 Å, b = 3.718 Å, c = 7.464 Å
α = 90.11°, β = 104.40°, γ = 120.01°
Atoms (fractional coordinates):
1 K 0.969 0.384 0.365
2 Dy 0.280 0.538 0.834
3 S 0.106 0.951 0.071
4 O 0.523 0.159 0.699

(7)
Material: Mg2ScZn
Method: DFT, PBE
State: optimized geometry

- DFT total energy (eV per atom) = -2.71
- theoretical density (g/cm³) = 3.12

a = 5.537 Å, b = 5.537 Å, c = 5.537 Å
α = 134.70°, β = 134.70°, γ = 66.00°
Atoms (fractional coordinates):
1 Mg 0.000 0.000 0.000
2 Mg 0.500 0.500 0.000
3 Sc 0.250 0.750 0.500
4 Zn 0.750 0.250 0.500

(8)
Material: PaV2Pd
Method: DFT, PBE
State: optimized geometry

- theoretical density (g/cm³) = 11.02
- energy relative to the lowest polymorph listed for this composition (meV per atom) = 0

a = 3.178 Å, b = 4.565 Å, c = 4.565 Å
α = 90.00°, β = 90.00°, γ = 90.00°
Atoms (fractional coordinates):
1 Pa 0.500 0.000 0.000
2 Pd 0.500 0.500 0.500
3 V 0.000 0.000 0.500
4 V 0.000 0.500 0.000